Th7In2Au2: relaxed, PBE-GGA.

Structure (CIF):
```
data_Th7In2Au2
_chemical_formula_sum 'Th14 In4 Au4'
_cell_length_a 8.566
_cell_length_b 11.381
_cell_length_c 7.113
_cell_angle_alpha 90.00
_cell_angle_beta 90.00
_cell_angle_gamma 90.00
_space_group_name_H-M_alt 'C m m m'
_space_group_IT_number 65
_space_group_name_Hall '-C 2 2'
loop_
_atom_site_label
_atom_site_type_symbol
_atom_site_fract_x
_atom_site_fract_y
_atom_site_fract_z
_atom_site_occupancy
Th1 Th 0.000 0.000 0.000 1
Th2 Th 0.000 0.500 0.257 1
Th3 Th 0.250 0.250 0.286 1
In1 In 0.165 0.000 0.500 1
Au1 Au 0.000 0.270 0.000 1
```

Properties
The formation energy comes out at -0.03 eV per atom. Its magnetization is 0.000 μB/atom. The density of states at the Fermi level is 22.5 states/eV/cell.